No. 1
! PBE-GGA Li2SnF6, relaxed; values from VASP
&SYSTEM
  ibrav = 0, nat = 18, ntyp = 3
/
ATOMIC_SPECIES
Li 6.94 Li.upf
Sn 118.71 Sn.upf
F 19.00 F.upf
CELL_PARAMETERS angstrom
4.844 0.000 0.000
0.000 5.451 0.000
0.000 0.000 8.694
ATOMIC_POSITIONS crystal
Li 0.000 0.000 0.188
Li 0.000 0.000 0.812
Li 0.500 0.500 0.312
Li 0.500 0.500 0.688
Sn 0.000 0.500 0.000
Sn 0.500 0.000 0.500
F 0.194 0.178 0.000
F 0.236 0.651 0.165
F 0.236 0.651 0.835
F 0.264 0.151 0.335
F 0.264 0.151 0.665
F 0.306 0.678 0.500
F 0.694 0.322 0.500
F 0.736 0.849 0.335
F 0.736 0.849 0.665
F 0.764 0.349 0.165
F 0.764 0.349 0.835
F 0.806 0.822 0.000
! N(E_F)   0.00 states/eV/cell
! Space group   No. 58
! Energy   -4.84 eV per atom
! Calculated density   3.57 g cm⁻³
! Volume   229.6 Å³ per cell
! Excess energy over the best structure of this formula in the dataset   0.240 eV/f.u.
! Formation energy from raw total energies   -2720 meV per atom


No. 2
! PBE-GGA ErSbSe3, relaxed; values from VASP
&SYSTEM
  ibrav = 0, nat = 10, ntyp = 3
/
ATOMIC_SPECIES
Er 167.26 Er.upf
Sb 121.76 Sb.upf
Se 78.96 Se.upf
CELL_PARAMETERS angstrom
6.932 0.000 0.000
-3.466 6.003 0.000
0.000 0.000 7.056
ATOMIC_POSITIONS crystal
Er 0.000 0.000 0.000
Er 0.000 0.000 0.500
Sb 0.667 0.333 0.000
Sb 0.667 0.333 0.500
Se 0.328 0.002 0.250
Se 0.328 0.326 0.750
Se 0.674 0.002 0.750
Se 0.674 0.672 0.250
Se 0.998 0.326 0.250
Se 0.998 0.672 0.750
! Space group   No. 188
! Energy   -4.76 eV per atom
! Calculated density   5.95 g cm⁻³
! Volume   293.6 Å³ per cell
! Excess energy over the best structure of this formula in the dataset   0.592 eV/f.u.
! Formation energy from raw total energies   -935 meV per atom


No. 3
! PBE-GGA NaCa2GaIr, relaxed; values from VASP
&SYSTEM
  ibrav = 0, nat = 5, ntyp = 4
/
ATOMIC_SPECIES
Na 22.99 Na.upf
Ca 40.08 Ca.upf
Ga 69.72 Ga.upf
Ir 192.22 Ir.upf
CELL_PARAMETERS angstrom
5.557 0.000 0.000
0.000 5.557 0.000
0.000 0.000 4.869
ATOMIC_POSITIONS crystal
Na 0.000 0.000 0.000
Ca 0.000 0.500 0.500
Ca 0.500 0.000 0.500
Ga 0.500 0.500 0.000
Ir 0.500 0.500 0.500
! N(E_F)   2.03 states/eV/cell
! Space group   No. 123
! Energy   -3.72 eV per atom
! Calculated density   4.03 g cm⁻³
! Volume   150.4 Å³ per cell


No. 4
! PBE-GGA TlPS2F, relaxed; values from VASP
&SYSTEM
  ibrav = 0, nat = 5, ntyp = 4
/
ATOMIC_SPECIES
Tl 204.38 Tl.upf
P 30.97 P.upf
S 32.06 S.upf
F 19.00 F.upf
CELL_PARAMETERS angstrom
5.255 0.000 0.000
0.000 5.255 0.000
0.000 0.000 3.698
ATOMIC_POSITIONS crystal
Tl 0.000 0.000 0.000
P 0.500 0.500 0.000
S 0.000 0.500 0.500
S 0.500 0.000 0.500
F 0.500 0.500 0.500
! N(E_F)   4.15 states/eV/cell
! Space group   No. 123
! Energy   -3.13 eV per atom
! Calculated density   5.18 g cm⁻³
! Volume   102.1 Å³ per cell
! Excess energy over the best structure of this formula in the dataset   0.000 eV/f.u.
! Formation energy from raw total energies   449 meV per atom


No. 5
! PBE-GGA TcP2W, relaxed; values from VASP
&SYSTEM
  ibrav = 0, nat = 4, ntyp = 3
/
ATOMIC_SPECIES
Tc 98.00 Tc.upf
P 30.97 P.upf
W 183.84 W.upf
CELL_PARAMETERS angstrom
4.109 0.000 0.000
0.000 2.951 0.000
-1.968 0.000 4.620
ATOMIC_POSITIONS crystal
Tc 0.000 0.000 0.000
P 0.000 0.000 0.500
P 0.500 0.500 0.000
W 0.500 0.500 0.500
! N(E_F)   3.63 states/eV/cell
! Space group   No. 10
! Energy   -8.59 eV per atom
! Calculated density   10.19 g cm⁻³
! Volume   56.0 Å³ per cell
! Excess energy over the best structure of this formula in the dataset   1.389 eV/f.u.


No. 6
! PBE-GGA LaAgO3, relaxed; values from VASP
&SYSTEM
  ibrav = 0, nat = 10, ntyp = 3
/
ATOMIC_SPECIES
La 138.91 La.upf
Ag 107.87 Ag.upf
O 16.00 O.upf
CELL_PARAMETERS angstrom
2.961 1.710 4.680
-2.961 1.710 4.680
0.000 -3.419 4.680
ATOMIC_POSITIONS crystal
La 0.000 0.000 0.000
La 0.500 0.500 0.500
Ag 0.234 0.234 0.234
Ag 0.734 0.734 0.734
O 0.085 0.882 0.460
O 0.382 0.585 0.960
O 0.460 0.085 0.882
O 0.585 0.960 0.382
O 0.882 0.460 0.085
O 0.960 0.382 0.585
! N(E_F)   3.14 states/eV/cell
! Space group   No. 161
! Energy   -6.20 eV per atom
! Calculated density   6.89 g cm⁻³
! Volume   142.2 Å³ per cell
! Formation energy from raw total energies   -1669 meV per atom


No. 7
! PBE-GGA AcCuGe, relaxed; values from VASP
&SYSTEM
  ibrav = 0, nat = 6, ntyp = 3
/
ATOMIC_SPECIES
Ac 227.00 Ac.upf
Cu 63.55 Cu.upf
Ge 72.64 Ge.upf
CELL_PARAMETERS angstrom
4.420 0.000 0.000
-2.210 3.828 0.000
0.000 0.000 8.567
ATOMIC_POSITIONS crystal
Ac 0.000 0.000 0.000
Ac 0.000 0.000 0.500
Cu 0.333 0.667 0.250
Cu 0.667 0.333 0.750
Ge 0.333 0.667 0.750
Ge 0.667 0.333 0.250
! N(E_F)   1.10 states/eV/cell
! Space group   No. 194
! Energy   -4.87 eV per atom
! Calculated density   8.32 g cm⁻³
! Volume   145.0 Å³ per cell
! Excess energy over the best structure of this formula in the dataset   0.000 eV/f.u.


No. 8
! PBE-GGA Sm2Ho9Er, relaxed; values from VASP
&SYSTEM
  ibrav = 0, nat = 12, ntyp = 3
/
ATOMIC_SPECIES
Sm 150.36 Sm.upf
Ho 164.93 Ho.upf
Er 167.26 Er.upf
CELL_PARAMETERS angstrom
5.005 0.000 0.000
0.000 5.005 0.000
0.000 0.000 15.018
ATOMIC_POSITIONS crystal
Sm 0.000 0.000 0.167
Sm 0.000 0.000 0.833
Ho 0.000 0.500 0.000
Ho 0.000 0.500 0.335
Ho 0.000 0.500 0.665
Ho 0.500 0.000 0.000
Ho 0.500 0.000 0.335
Ho 0.500 0.000 0.665
Ho 0.500 0.500 0.168
Ho 0.500 0.500 0.500
Ho 0.500 0.500 0.832
Er 0.000 0.000 0.500
! N(E_F)   17.38 states/eV/cell
! Space group   No. 123
! Energy   -4.58 eV per atom
! Calculated density   8.62 g cm⁻³
! Volume   376.2 Å³ per cell
! Excess energy over the best structure of this formula in the dataset   0.000 eV/f.u.


No. 9
! PBE-GGA ScSe2Cl, relaxed; values from VASP
&SYSTEM
  ibrav = 0, nat = 8, ntyp = 3
/
ATOMIC_SPECIES
Sc 44.96 Sc.upf
Se 78.96 Se.upf
Cl 35.45 Cl.upf
CELL_PARAMETERS angstrom
5.083 0.000 0.000
0.000 8.461 0.000
0.000 0.000 4.156
ATOMIC_POSITIONS crystal
Sc 0.000 0.000 0.000
Sc 0.500 0.500 0.000
Se 0.250 0.250 0.500
Se 0.250 0.750 0.500
Se 0.750 0.250 0.500
Se 0.750 0.750 0.500
Cl 0.000 0.500 0.000
Cl 0.500 0.000 0.000
! N(E_F)   5.58 states/eV/cell
! Space group   No. 65
! Energy   -4.57 eV per atom
! Calculated density   4.43 g cm⁻³
! Volume   178.7 Å³ per cell
! Excess energy over the best structure of this formula in the dataset   2.038 eV/f.u.
! Formation energy from raw total energies   -783 meV per atom


No. 10
! PBE-GGA Be2AlPd2, relaxed; values from VASP
&SYSTEM
  ibrav = 0, nat = 10, ntyp = 3
/
ATOMIC_SPECIES
Be 9.01 Be.upf
Al 26.98 Al.upf
Pd 106.42 Pd.upf
CELL_PARAMETERS angstrom
3.108 0.000 0.000
0.000 3.108 0.000
0.000 0.000 13.056
ATOMIC_POSITIONS crystal
Be 0.000 0.500 0.250
Be 0.000 0.500 0.750
Be 0.500 0.000 0.250
Be 0.500 0.000 0.750
Al 0.000 0.000 0.000
Al 0.500 0.500 0.500
Pd 0.000 0.000 0.389
Pd 0.000 0.000 0.611
Pd 0.500 0.500 0.111
Pd 0.500 0.500 0.889
! N(E_F)   2.33 states/eV/cell
! Space group   No. 139
! Energy   -4.79 eV per atom
! Calculated density   6.79 g cm⁻³
! Volume   126.1 Å³ per cell
! Excess energy over the best structure of this formula in the dataset   0.452 eV/f.u.


No. 11
! PBE-GGA SrNpB2O8, relaxed; values from VASP
&SYSTEM
  ibrav = 0, nat = 12, ntyp = 4
/
ATOMIC_SPECIES
Sr 87.62 Sr.upf
Np 237.00 Np.upf
B 10.81 B.upf
O 16.00 O.upf
CELL_PARAMETERS angstrom
4.066 -2.601 0.000
4.066 2.601 0.000
-0.206 0.000 7.533
ATOMIC_POSITIONS crystal
Sr 0.000 0.000 0.000
Np 0.000 0.000 0.500
B 0.363 0.363 0.733
B 0.637 0.637 0.267
O 0.224 0.694 0.702
O 0.229 0.229 0.577
O 0.296 0.296 0.902
O 0.306 0.776 0.298
O 0.694 0.224 0.702
O 0.704 0.704 0.098
O 0.771 0.771 0.423
O 0.776 0.306 0.298
! N(E_F)   3.99 states/eV/cell
! Space group   No. 12
! Energy   -7.96 eV per atom
! Calculated density   4.94 g cm⁻³
! Volume   159.3 Å³ per cell
! Formation energy from raw total energies   -2318 meV per atom


No. 12
! PBE-GGA HfMg2F8, relaxed; values from VASP
&SYSTEM
  ibrav = 0, nat = 11, ntyp = 3
/
ATOMIC_SPECIES
Hf 178.49 Hf.upf
Mg 24.30 Mg.upf
F 19.00 F.upf
CELL_PARAMETERS angstrom
6.412 0.000 0.000
-3.206 5.553 0.000
0.000 0.000 4.051
ATOMIC_POSITIONS crystal
Hf 0.000 0.000 0.000
Mg 0.333 0.667 0.735
Mg 0.667 0.333 0.265
F 0.156 0.311 0.747
F 0.156 0.844 0.747
F 0.311 0.156 0.253
F 0.333 0.667 0.239
F 0.667 0.333 0.761
F 0.689 0.844 0.747
F 0.844 0.156 0.253
F 0.844 0.689 0.253
! N(E_F)   0.00 states/eV/cell
! Space group   No. 164
! Energy   -6.11 eV per atom
! Calculated density   4.36 g cm⁻³
! Volume   144.3 Å³ per cell
! Excess energy over the best structure of this formula in the dataset   0.000 eV/f.u.
! Formation energy from raw total energies   -3550 meV per atom


No. 13
! PBE-GGA Na4MgH5, relaxed; values from VASP
&SYSTEM
  ibrav = 0, nat = 10, ntyp = 3
/
ATOMIC_SPECIES
Na 22.99 Na.upf
Mg 24.30 Mg.upf
H 1.01 H.upf
CELL_PARAMETERS angstrom
-3.581 3.581 2.768
3.581 -3.581 2.768
3.581 3.581 -2.768
ATOMIC_POSITIONS crystal
Na 0.097 0.707 0.804
Na 0.293 0.097 0.390
Na 0.707 0.903 0.610
Na 0.903 0.293 0.196
Mg 0.469 0.469 0.000
H 0.127 0.127 0.000
H 0.166 0.359 0.625
H 0.359 0.734 0.193
H 0.541 0.166 0.807
H 0.734 0.541 0.375
! N(E_F)   0.23 states/eV/cell
! Space group   No. 79
! Energy   -2.45 eV per atom
! Calculated density   1.42 g cm⁻³
! Volume   142.0 Å³ per cell


No. 14
! PBE-GGA CrB2W, relaxed; values from VASP
&SYSTEM
  ibrav = 0, nat = 16, ntyp = 3
/
ATOMIC_SPECIES
Cr 52.00 Cr.upf
B 10.81 B.upf
W 183.84 W.upf
CELL_PARAMETERS angstrom
4.663 0.000 0.000
0.000 4.663 0.000
0.000 0.000 9.561
ATOMIC_POSITIONS crystal
Cr 0.000 0.000 0.000
Cr 0.000 0.500 0.250
Cr 0.500 0.000 0.750
Cr 0.500 0.500 0.500
B 0.227 0.250 0.125
B 0.250 0.727 0.375
B 0.250 0.773 0.875
B 0.273 0.250 0.625
B 0.727 0.750 0.625
B 0.750 0.227 0.875
B 0.750 0.273 0.375
B 0.773 0.750 0.125
W 0.000 0.000 0.500
W 0.000 0.500 0.750
W 0.500 0.000 0.250
W 0.500 0.500 0.000
! N(E_F)   22.41 states/eV/cell
! Space group   No. 122
! Energy   -8.02 eV per atom
! Calculated density   8.23 g cm⁻³
! Volume   207.9 Å³ per cell
! Excess energy over the best structure of this formula in the dataset   5.640 eV/f.u.


No. 15
! PBE-GGA CoPd2PtSe8, relaxed; values from VASP
&SYSTEM
  ibrav = 0, nat = 12, ntyp = 4
/
ATOMIC_SPECIES
Co 58.93 Co.upf
Pd 106.42 Pd.upf
Pt 195.08 Pt.upf
Se 78.96 Se.upf
CELL_PARAMETERS angstrom
-4.040 4.040 4.227
4.040 -4.040 4.227
4.040 4.040 -4.227
ATOMIC_POSITIONS crystal
Co 0.000 0.000 0.000
Pd 0.250 0.750 0.500
Pd 0.500 0.500 0.000
Pt 0.750 0.250 0.500
Se 0.023 0.339 0.316
Se 0.023 0.707 0.684
Se 0.091 0.261 0.830
Se 0.293 0.977 0.316
Se 0.431 0.261 0.170
Se 0.661 0.977 0.684
Se 0.739 0.569 0.830
Se 0.739 0.909 0.170
! N(E_F)   9.94 states/eV/cell
! Space group   No. 119
! Energy   -4.08 eV per atom
! Calculated density   6.61 g cm⁻³
! Volume   275.9 Å³ per cell
! Formation energy from raw total energies   206 meV per atom


No. 16
! PBE-GGA Ho2Sc6O, relaxed; values from VASP
&SYSTEM
  ibrav = 0, nat = 9, ntyp = 3
/
ATOMIC_SPECIES
Ho 164.93 Ho.upf
Sc 44.96 Sc.upf
O 16.00 O.upf
CELL_PARAMETERS angstrom
-3.310 3.310 4.741
3.310 -3.310 4.741
3.310 3.310 -4.741
ATOMIC_POSITIONS crystal
Ho 0.250 0.750 0.500
Ho 0.750 0.250 0.500
Sc 0.238 0.238 0.000
Sc 0.241 0.241 0.482
Sc 0.241 0.759 0.000
Sc 0.759 0.241 0.000
Sc 0.759 0.759 0.518
Sc 0.762 0.762 0.000
O 0.000 0.000 0.000
! N(E_F)   12.90 states/eV/cell
! Space group   No. 139
! Energy   -6.36 eV per atom
! Calculated density   4.92 g cm⁻³
! Volume   207.8 Å³ per cell
! Formation energy from raw total energies   -570 meV per atom


No. 17
! PBE-GGA NaCr3Pd, relaxed; values from VASP
&SYSTEM
  ibrav = 0, nat = 5, ntyp = 3
/
ATOMIC_SPECIES
Na 22.99 Na.upf
Cr 52.00 Cr.upf
Pd 106.42 Pd.upf
CELL_PARAMETERS angstrom
4.813 0.000 0.000
0.000 4.813 0.000
0.000 0.000 4.813
ATOMIC_POSITIONS crystal
Na 0.000 0.000 0.000
Cr 0.000 0.000 0.500
Cr 0.000 0.500 0.000
Cr 0.500 0.000 0.000
Pd 0.500 0.500 0.500
! N(E_F)   2.92 states/eV/cell
! Space group   No. 221
! Energy   -5.14 eV per atom
! Calculated density   4.25 g cm⁻³
! Volume   111.5 Å³ per cell
! Excess energy over the best structure of this formula in the dataset   4.032 eV/f.u.


No. 18
! PBE-GGA Ac2TlInGe, relaxed; values from VASP
&SYSTEM
  ibrav = 0, nat = 10, ntyp = 4
/
ATOMIC_SPECIES
Ac 227.00 Ac.upf
Tl 204.38 Tl.upf
In 114.82 In.upf
Ge 72.64 Ge.upf
CELL_PARAMETERS angstrom
8.026 0.000 0.000
0.000 4.595 0.000
-2.726 0.000 9.419
ATOMIC_POSITIONS crystal
Ac 0.188 0.250 0.402
Ac 0.245 0.250 0.976
Ac 0.755 0.750 0.024
Ac 0.812 0.750 0.598
Tl 0.274 0.750 0.698
Tl 0.726 0.250 0.302
In 0.482 0.750 0.274
In 0.518 0.250 0.726
Ge 0.144 0.750 0.169
Ge 0.856 0.250 0.831
! N(E_F)   6.06 states/eV/cell
! Space group   No. 11
! Energy   -4.01 eV per atom
! Calculated density   8.09 g cm⁻³
! Volume   347.4 Å³ per cell


No. 19
! PBE-GGA Ta2VPt8, relaxed; values from VASP
&SYSTEM
  ibrav = 0, nat = 11, ntyp = 3
/
ATOMIC_SPECIES
Ta 180.95 Ta.upf
V 50.94 V.upf
Pt 195.08 Pt.upf
CELL_PARAMETERS angstrom
7.133 -1.999 0.000
7.133 1.999 0.000
-1.941 0.000 6.105
ATOMIC_POSITIONS crystal
Ta 0.219 0.219 0.155
Ta 0.781 0.781 0.845
V 0.500 0.500 0.500
Pt 0.042 0.042 0.236
Pt 0.141 0.141 0.690
Pt 0.322 0.322 0.591
Pt 0.400 0.400 0.059
Pt 0.600 0.600 0.941
Pt 0.678 0.678 0.409
Pt 0.859 0.859 0.310
Pt 0.958 0.958 0.764
! N(E_F)   6.92 states/eV/cell
! Space group   No. 12
! Energy   -7.97 eV per atom
! Calculated density   18.82 g cm⁻³
! Volume   174.1 Å³ per cell


No. 20
! PBE-GGA Pr4Zn5Pt6, relaxed; values from VASP
&SYSTEM
  ibrav = 0, nat = 30, ntyp = 3
/
ATOMIC_SPECIES
Pr 140.91 Pr.upf
Zn 65.41 Zn.upf
Pt 195.08 Pt.upf
CELL_PARAMETERS angstrom
2.072 -10.164 0.000
2.072 10.164 0.000
0.000 0.000 15.352
ATOMIC_POSITIONS crystal
Pr 0.007 0.993 0.500
Pr 0.033 0.967 0.758
Pr 0.163 0.837 0.290
Pr 0.186 0.814 0.927
Pr 0.814 0.186 0.427
Pr 0.837 0.163 0.790
Pr 0.967 0.033 0.258
Pr 0.993 0.007 0.000
Zn 0.151 0.849 0.615
Zn 0.304 0.696 0.600
Zn 0.340 0.660 0.255
Zn 0.360 0.640 0.971
Zn 0.442 0.558 0.662
Zn 0.558 0.442 0.162
Zn 0.640 0.360 0.471
Zn 0.660 0.340 0.755
Zn 0.696 0.304 0.100
Zn 0.849 0.151 0.115
Pt 0.117 0.883 0.103
Pt 0.216 0.784 0.475
Pt 0.233 0.767 0.741
Pt 0.422 0.578 0.392
Pt 0.427 0.573 0.120
Pt 0.442 0.558 0.843
Pt 0.558 0.442 0.343
Pt 0.573 0.427 0.620
Pt 0.578 0.422 0.892
Pt 0.767 0.233 0.241
Pt 0.784 0.216 0.975
Pt 0.883 0.117 0.603
! N(E_F)   11.52 states/eV/cell
! Space group   No. 36
! Energy   -4.90 eV per atom
! Calculated density   10.59 g cm⁻³
! Volume   646.6 Å³ per cell